ZrMn3As: relaxed, PBE.

```
data_ZrMn3As
_chemical_formula_sum 'Zr1 Mn3 As1'
_cell_length_a 4.7816
_cell_length_b 4.7816
_cell_length_c 4.7816
_cell_angle_alpha 90.00
_cell_angle_beta 90.00
_cell_angle_gamma 90.00
_symmetry_space_group_name_H-M 'P m -3 m'
_symmetry_Int_Tables_number 221
_symmetry_space_group_name_Hall '-P 4 2 3'
loop_
_atom_site_label
_atom_site_fract_x
_atom_site_fract_y
_atom_site_fract_z
Zr1 0.0000 0.0000 0.0000
Mn1 0.0000 0.0000 0.5000
As1 0.5000 0.5000 0.5000
```

Computed properties:
**Energy relative to the lowest polymorph listed for this composition**: 1038 meV per atom
**Formation enthalpy at 0 K**: 1.4107 eV/atom
**Electronic total energy**: -6.731 eV per atom